Here is a geometry-optimized NpIr structure from the Alexandria database. Energies are from GGA-PBE.

```
NpIr
1.0
2.7865 0.0000 0.0000
0.0000 4.2872 0.0000
-0.6907 0.0000 5.6631
Np Ir
2 2
Direct
0.0293 0.2500 0.3836
0.9707 0.7500 0.6164
0.2932 0.7500 0.1202
0.7068 0.2500 0.8798
```

Properties
As for the space-group type: No. 11.



Here is a geometry-optimized NpIr3 structure from the Alexandria database. Energies are from GGA-PBE.

```
NpIr3
1.0
4.0472 0.0000 0.0000
0.0000 4.0472 0.0000
0.0000 0.0000 4.0472
Np Ir
1 3
Direct
0.0000 0.0000 0.0000
0.0000 0.5000 0.5000
0.5000 0.0000 0.5000
0.5000 0.5000 0.0000
```

Properties
As for the space-group type: No. 221.



Here is a geometry-optimized NpIr3 structure from the Alexandria database. Energies are from GGA-PBE.

```
NpIr3
1.0
-2.0241 2.0241 4.0751
2.0241 -2.0241 4.0751
2.0241 2.0241 -4.0751
Np Ir
1 3
Direct
0.0000 0.0000 0.0000
0.2500 0.7500 0.5000
0.5000 0.5000 0.0000
0.7500 0.2500 0.5000
```

Properties
As for the space-group type: No. 139.



Here is a geometry-optimized NpIrO structure from the Alexandria database. Energies are from GGA-PBE.

```
NpIrO
1.0
2.7793 -2.6353 0.0000
2.7793 2.6353 0.0000
-0.5993 0.0000 7.1765
Np Ir O
2 2 2
Direct
0.0243 0.0243 0.3074
0.9757 0.9757 0.6926
0.2732 0.2732 0.0026
0.7268 0.7268 0.9974
0.0000 0.5000 0.5000
0.5000 0.0000 0.5000
```

Properties
As for the space-group type: No. 12. The formation energy without anion corrections comes out at -120 kJ per mole of atoms.



Here is a geometry-optimized NpIrO6 structure from the Alexandria database. Energies are from GGA-PBE.

```
NpIrO6
1.0
2.5244 -4.7416 0.0000
2.5244 4.7416 0.0000
-1.1950 0.0000 4.9051
Np Ir O
1 1 6
Direct
0.0000 0.0000 0.0000
0.5000 0.5000 0.5000
0.1202 0.3857 0.2485
0.2587 0.2587 0.7347
0.3857 0.1202 0.2485
0.6143 0.8798 0.7515
0.7413 0.7413 0.2653
0.8798 0.6143 0.7515
```

Properties
As for the space-group type: No. 12. The formation energy without anion corrections comes out at -150 kJ per mole of atoms.



Here is a geometry-optimized NpIrO5 structure from the Alexandria database. Energies are from GGA-PBE.

```
NpIrO5
1.0
3.1633 -4.1214 0.0000
3.1633 4.1214 0.0000
-0.0849 0.0000 6.9062
Np Ir O
2 2 10
Direct
0.0971 0.9029 0.7500
0.9029 0.0971 0.2500
0.5000 0.5000 0.0000
0.5000 0.5000 0.5000
0.1408 0.2398 0.5365
0.1985 0.6309 0.9051
0.2398 0.1408 0.0365
0.3691 0.8015 0.5949
0.3944 0.6056 0.2500
0.6056 0.3944 0.7500
0.6309 0.1985 0.4051
0.7602 0.8592 0.9635
0.8015 0.3691 0.0949
0.8592 0.7602 0.4635
```

Properties
As for the space-group type: No. 15. The formation energy without anion corrections comes out at -158 kJ per mole of atoms.



Here is a geometry-optimized NpIrPbO6 structure from the Alexandria database. Energies are from GGA-PBE.

```
NpIrPbO6
1.0
5.2396 0.0000 0.0000
-2.6198 4.5377 0.0000
0.0000 0.0000 11.5590
Np Ir Pb O
2 2 2 12
Direct
0.3333 0.6667 0.2500
0.6667 0.3333 0.7500
0.3333 0.6667 0.7500
0.6667 0.3333 0.2500
0.0000 0.0000 0.0000
0.0000 0.0000 0.5000
0.0051 0.3579 0.6485
0.0051 0.6472 0.8515
0.3528 0.3579 0.8515
0.3528 0.9949 0.6485
0.3579 0.0051 0.1485
0.3579 0.3528 0.3515
0.6421 0.6472 0.6485
0.6421 0.9949 0.8515
0.6472 0.0051 0.3515
0.6472 0.6421 0.1485
0.9949 0.3528 0.1485
0.9949 0.6421 0.3515
```

Properties
As for the space-group type: No. 163. The formation energy without anion corrections comes out at -167 kJ per mole of atoms.



Here is a geometry-optimized NpIrPb2O6 structure from the Alexandria database. Energies are from GGA-PBE.

```
NpIrPb2O6
1.0
5.5839 -2.8869 0.0000
5.5839 2.8869 0.0000
-1.3442 0.0000 4.7461
Np Ir Pb O
1 1 2 6
Direct
0.0000 0.0000 0.0000
0.5000 0.5000 0.5000
0.2818 0.2818 0.7820
0.7182 0.7182 0.2180
0.1629 0.1629 0.2761
0.1816 0.6555 0.2158
0.3445 0.8184 0.7842
0.6555 0.1816 0.2158
0.8184 0.3445 0.7842
0.8371 0.8371 0.7239
```

Properties
As for the space-group type: No. 12. The formation energy without anion corrections comes out at -153 kJ per mole of atoms.



Here is a geometry-optimized NpIrPdO6 structure from the Alexandria database. Energies are from GGA-PBE.

```
NpIrPdO6
1.0
5.2480 0.0000 0.0000
-2.6240 4.5449 0.0000
0.0000 0.0000 9.1825
Np Ir Pd O
2 2 2 12
Direct
0.3333 0.6667 0.2500
0.6667 0.3333 0.7500
0.0000 0.0000 0.0000
0.0000 0.0000 0.5000
0.3333 0.6667 0.7500
0.6667 0.3333 0.2500
0.0140 0.3253 0.1212
0.0140 0.6886 0.3788
0.3114 0.3253 0.3788
0.3114 0.9860 0.1212
0.3253 0.0140 0.6212
0.3253 0.3114 0.8788
0.6747 0.6886 0.1212
0.6747 0.9860 0.3788
0.6886 0.0140 0.8788
0.6886 0.6747 0.6212
0.9860 0.3114 0.6212
0.9860 0.6747 0.8788
```

Properties
As for the space-group type: No. 163. The formation energy without anion corrections comes out at -138 kJ per mole of atoms.



Here is a geometry-optimized PmNpIrO6 structure from the Alexandria database. Energies are from GGA-PBE.

```
PmNpIrO6
1.0
5.6930 0.0000 0.0000
-2.8465 4.9303 0.0000
0.0000 0.0000 8.5137
Pm Np Ir O
2 2 2 12
Direct
0.3333 0.6667 0.2500
0.6667 0.3333 0.7500
0.3333 0.6667 0.7500
0.6667 0.3333 0.2500
0.0000 0.0000 0.0000
0.0000 0.0000 0.5000
0.0373 0.3351 0.6206
0.0373 0.7023 0.8794
0.2977 0.3351 0.8794
0.2977 0.9627 0.6206
0.3351 0.0373 0.1206
0.3351 0.2977 0.3794
0.6649 0.7023 0.6206
0.6649 0.9627 0.8794
0.7023 0.0373 0.3794
0.7023 0.6649 0.1206
0.9627 0.2977 0.1206
0.9627 0.6649 0.3794
```

Properties
As for the space-group type: No. 163. The formation energy without anion corrections comes out at -207 kJ per mole of atoms.



Here is a geometry-optimized Rb2Np3IrO12 structure from the Alexandria database. Energies are from GGA-PBE.

```
Rb2Np3IrO12
1.0
3.9246 2.2659 6.0126
-3.9246 2.2659 6.0126
0.0000 -4.5317 6.0126
Rb Np Ir O
2 3 1 12
Direct
0.1282 0.1282 0.1282
0.8718 0.8718 0.8718
0.0000 0.5000 0.5000
0.5000 0.0000 0.5000
0.5000 0.5000 0.0000
0.5000 0.5000 0.5000
0.1778 0.1778 0.5626
0.1778 0.5626 0.1778
0.1953 0.5594 0.5594
0.4374 0.8222 0.8222
0.4406 0.4406 0.8047
0.4406 0.8047 0.4406
0.5594 0.1953 0.5594
0.5594 0.5594 0.1953
0.5626 0.1778 0.1778
0.8047 0.4406 0.4406
0.8222 0.4374 0.8222
0.8222 0.8222 0.4374
```

Properties
As for the space-group type: No. 166. The formation energy without anion corrections comes out at -223 kJ per mole of atoms.



Here is a geometry-optimized Rb2NpIr3O12 structure from the Alexandria database. Energies are from GGA-PBE.

```
Rb2NpIr3O12
1.0
3.6222 2.0913 6.2178
-3.6222 2.0913 6.2178
0.0000 -4.1825 6.2178
Rb Np Ir O
2 1 3 12
Direct
0.1150 0.1150 0.1150
0.8850 0.8850 0.8850
0.5000 0.5000 0.5000
0.0000 0.5000 0.5000
0.5000 0.0000 0.5000
0.5000 0.5000 0.0000
0.1708 0.5714 0.5714
0.1855 0.1855 0.5778
0.1855 0.5778 0.1855
0.4222 0.8145 0.8145
0.4286 0.4286 0.8292
0.4286 0.8292 0.4286
0.5714 0.1708 0.5714
0.5714 0.5714 0.1708
0.5778 0.1855 0.1855
0.8145 0.4222 0.8145
0.8145 0.8145 0.4222
0.8292 0.4286 0.4286
```

Properties
As for the space-group type: No. 166. The formation energy without anion corrections comes out at -134 kJ per mole of atoms.



| no. | E (eV/atom) | M_tot (μB per formula unit) |
| --- | --- | --- |
| 1 | -11.109 | 0.000 |
| 2 | -10.252 | 1.985 |
| 3 | -10.064 | 1.968 |
| 4 | -10.159 | 2.934 |
| 5 | -8.001 | 0.000 |
| 6 | -8.292 | 0.900 |
| 7 | -7.873 | 0.014 |
| 8 | -7.487 | 2.082 |
| 9 | -7.739 | 2.036 |
| 10 | -8.400 | 1.008 |
| 11 | -8.376 | 2.000 |
| 12 | -7.001 | 0.158 |